DFT (PBE-GGA) results for a relaxed TmTaS3 crystal.

Cell: 3.533 6.933 8.436 Å, 94.38 102.20 104.75°
Atoms (fractional coordinates):
S 0.192 0.822 0.643
S 0.614 0.315 0.996
S 0.883 0.231 0.618
S 0.397 0.524 0.353
S 0.100 0.022 0.260
S 0.304 0.724 0.971
Tm 0.573 0.508 0.719
Tm 0.924 0.037 0.895
Ta 0.878 0.653 0.188
Ta 0.618 0.893 0.426

Results
energy relative to the elements, uncorrected	-1447	meV per atom
Fermi-level density of states	4.1	states/eV/cell

DFT (PBE-GGA) results for a relaxed BaPrEu crystal.

Cell: 3.954 3.954 9.074 Å, 102.58 102.58 90.00°
Atoms (fractional coordinates):
Ba 0.005 0.005 0.010
Eu 0.320 0.320 0.641
Pr 0.675 0.675 0.349

Results
Fermi-level density of states	7.7	states/eV/cell
E above lowest polymorph	0.0	meV per atom
DFT formation energy	0.109	eV per atom

DFT (PBE-GGA) results for a relaxed ErScGe crystal.

Cell: 4.106 7.570 7.570 Å, 120.00 90.00 90.00°
Atoms (fractional coordinates):
Sc 0.000 0.000 0.256
Sc 0.000 0.744 0.744
Sc 0.000 0.256 0.000
Er 0.500 0.595 0.000
Er 0.500 0.405 0.405
Er 0.500 0.000 0.595
Ge 0.500 0.000 0.000
Ge 0.000 0.333 0.667
Ge 0.000 0.667 0.333

Results
Fermi-level density of states	11.1	states/eV/cell
E above lowest polymorph	8.5	meV per atom
DFT formation energy	-0.702	eV per atom

DFT (PBE-GGA) results for a relaxed Ta2MnCrCd crystal.

Cell: 4.972 4.605 4.972 Å, 90.00 90.00 90.00°
Atoms (fractional coordinates):
Ta 0.000 0.000 0.500
Ta 0.500 0.000 0.000
Cr 0.500 0.500 0.500
Mn 0.000 0.500 0.000
Cd 0.000 0.000 0.000

Results
Fermi-level density of states	7.1	states/eV/cell
DFT formation energy	2.447	eV per atom

DFT (PBE-GGA) results for a relaxed CaBPd3 crystal.

Cell: 3.880 3.880 6.865 Å, 90.00 90.00 90.00°
Atoms (fractional coordinates):
Pd 0.000 0.500 0.436
Pd 0.500 0.000 0.436
Pd 0.000 0.000 0.726
B 0.500 0.500 0.559
Ca 0.000 0.000 0.107

Results
Fermi-level density of states	2.5	states/eV/cell
DFT formation energy	0.036	eV per atom

DFT (PBE-GGA) results for a relaxed Mg2MoIr crystal.

Cell: 7.364 7.364 5.832 Å, 50.86 50.86 90.00°
Atoms (fractional coordinates):
Ir 0.750 0.250 0.500
Ir 0.000 0.000 0.000
Mo 0.500 0.500 0.000
Mo 0.250 0.750 0.500
Mg 0.648 0.125 0.250
Mg 0.875 0.898 0.750
Mg 0.375 0.352 0.750
Mg 0.102 0.625 0.250

Results
Fermi-level density of states	5.1	states/eV/cell
E above lowest polymorph	689.6	meV per atom
DFT formation energy	0.573	eV per atom

DFT (PBE-GGA) results for a relaxed AlNiPtPb2 crystal.

Cell: 5.402 4.712 5.402 Å, 90.00 90.00 90.00°
Atoms (fractional coordinates):
Pb 0.500 0.000 0.000
Pb 0.000 0.000 0.500
Al 0.000 0.500 0.000
Pt 0.000 0.000 0.000
Ni 0.500 0.500 0.500

Results
Fermi-level density of states	4.8	states/eV/cell
DFT formation energy	0.519	eV per atom

DFT (PBE-GGA) results for a relaxed CaAcY2Hg4 crystal.

Cell: 5.338 5.338 9.640 Å, 73.93 73.93 60.00°
Atoms (fractional coordinates):
Y 0.244 0.244 0.268
Y 0.756 0.756 0.732
Hg 0.383 0.383 0.850
Hg 0.127 0.127 0.620
Hg 0.873 0.873 0.380
Hg 0.617 0.617 0.150
Ac 0.000 0.000 0.000
Ca 0.500 0.500 0.500

Results
Fermi-level density of states	4.9	states/eV/cell
DFT formation energy	-0.488	eV per atom

DFT (PBE-GGA) results for a relaxed TcAuSe3 crystal.

Cell: 4.874 4.874 4.874 Å, 90.00 90.00 90.00°
Atoms (fractional coordinates):
Se 0.500 0.000 0.000
Se 0.000 0.500 0.000
Se 0.000 0.000 0.500
Au 0.500 0.500 0.500
Tc 0.000 0.000 0.000

Results
energy relative to the elements, uncorrected	548	meV per atom
Fermi-level density of states	5.0	states/eV/cell
E above lowest polymorph	0.0	meV per atom

DFT (PBE-GGA) results for a relaxed EuCuHg crystal.

Cell: 3.915 4.661 4.661 Å, 120.00 90.00 90.00°
Atoms (fractional coordinates):
Eu 0.667 0.667 0.333
Hg 0.167 0.333 0.667
Cu 0.166 0.000 0.000

Results
Fermi-level density of states	9.2	states/eV/cell
DFT formation energy	-0.287	eV per atom

DFT (PBE-GGA) results for a relaxed CeHoS3 crystal.

Cell: 3.936 7.831 7.838 Å, 94.53 90.00 90.00°
Atoms (fractional coordinates):
S 0.250 0.682 0.023
S 0.750 0.624 0.385
S 0.750 0.099 0.321
S 0.250 0.376 0.615
S 0.250 0.901 0.679
S 0.750 0.318 0.977
Ce 0.250 0.379 0.232
Ce 0.750 0.621 0.768
Ho 0.250 0.854 0.326
Ho 0.750 0.146 0.674

Results
energy relative to the elements, uncorrected	-2024	meV per atom
Fermi-level density of states	11.9	states/eV/cell
E above lowest polymorph	26.1	meV per atom

DFT (PBE-GGA) results for a relaxed NdMg7Cu5 crystal.

Cell: 5.322 7.172 7.172 Å, 82.10 68.22 68.22°
Atoms (fractional coordinates):
Nd 0.018 0.982 0.982
Mg 0.986 0.359 0.669
Mg 0.506 0.789 0.200
Mg 0.506 0.200 0.789
Mg 0.277 0.223 0.223
Mg 0.664 0.336 0.336
Mg 0.986 0.669 0.359
Mg 0.348 0.652 0.652
Cu 0.000 0.509 0.997
Cu 0.493 0.509 0.997
Cu 0.000 0.997 0.509
Cu 0.493 0.997 0.509
Cu 0.722 0.778 0.778

Results
Fermi-level density of states	7.3	states/eV/cell
DFT formation energy	-0.110	eV per atom

DFT (PBE-GGA) results for a relaxed BaTl2PSe4 crystal.

Cell: 8.460 7.136 7.136 Å, 66.13 53.65 53.65°
Atoms (fractional coordinates):
Tl 0.000 0.250 0.750
Tl 0.000 0.750 0.250
P 0.500 0.500 0.500
Se 0.185 0.824 0.490
Se 0.815 0.510 0.176
Se 0.500 0.176 0.510
Se 0.500 0.490 0.824
Ba 0.500 0.000 0.000

Results
energy relative to the elements, uncorrected	-565	meV per atom
Fermi-level density of states	3.8	states/eV/cell

DFT (PBE-GGA) results for a relaxed Sr2CrCdI crystal.

Cell: 6.197 6.122 6.197 Å, 90.00 90.00 90.00°
Atoms (fractional coordinates):
I 0.000 0.000 0.000
Sr 0.000 0.000 0.500
Sr 0.500 0.000 0.000
Cd 0.000 0.500 0.000
Cr 0.500 0.500 0.500

Results
energy relative to the elements, uncorrected	476	meV per atom
Fermi-level density of states	5.2	states/eV/cell

DFT (PBE-GGA) results for a relaxed AcSiBIr3 crystal.

Cell: 5.856 5.854 6.882 Å, 115.17 90.00 90.00°
Atoms (fractional coordinates):
B 0.250 0.036 0.072
B 0.750 0.964 0.928
Ir 0.000 0.248 0.000
Ir 0.250 0.207 0.414
Ir 0.500 0.248 0.000
Ir 0.750 0.793 0.586
Ir 0.000 0.752 0.000
Ir 0.500 0.752 0.000
Ac 0.750 0.256 0.511
Ac 0.250 0.744 0.489
Si 0.750 0.605 0.210
Si 0.250 0.395 0.790

Results
energy relative to the elements, uncorrected	-655	meV per atom
Fermi-level density of states	3.5	states/eV/cell

DFT (PBE-GGA) results for a relaxed ThSi3Ru2 crystal.

Cell: 5.607 6.040 6.040 Å, 101.80 90.00 90.00°
Atoms (fractional coordinates):
Si 0.750 0.459 0.113
Si 0.250 0.541 0.887
Si 0.750 0.113 0.459
Si 0.250 0.887 0.541
Si 0.250 0.943 0.943
Si 0.750 0.057 0.057
Th 0.750 0.663 0.663
Th 0.250 0.337 0.337
Ru 0.500 0.792 0.208
Ru 0.500 0.208 0.792
Ru 0.000 0.792 0.208
Ru 0.000 0.208 0.792

Results
energy relative to the elements, uncorrected	-678	meV per atom
Fermi-level density of states	6.7	states/eV/cell

DFT (PBE-GGA) results for a relaxed LiSe3F crystal.

Cell: 4.684 4.684 4.684 Å, 90.00 90.00 90.00°
Atoms (fractional coordinates):
Se 0.000 0.500 0.000
Se 0.000 0.000 0.500
Se 0.500 0.000 0.000
F 0.000 0.000 0.000
Li 0.500 0.500 0.500

Results
energy relative to the elements, uncorrected	2	meV per atom
Fermi-level density of states	2.7	states/eV/cell
E above lowest polymorph	0.0	meV per atom

DFT (PBE-GGA) results for a relaxed PmPr5Hg4 crystal.

Cell: 3.832 3.832 20.594 Å, 90.00 90.00 90.00°
Atoms (fractional coordinates):
Hg 0.000 0.000 0.405
Hg 0.000 0.000 0.787
Hg 0.000 0.000 0.595
Hg 0.000 0.000 0.213
Pr 0.500 0.500 0.879
Pr 0.500 0.500 0.500
Pr 0.500 0.500 0.121
Pr 0.500 0.500 0.689
Pr 0.500 0.500 0.311
Pm 0.000 0.000 0.000

Results
Fermi-level density of states	11.6	states/eV/cell
DFT formation energy	-0.370	eV per atom

DFT (PBE-GGA) results for a relaxed ErCd2 crystal.

Cell: 3.397 4.959 4.959 Å, 120.00 90.00 90.00°
Atoms (fractional coordinates):
Er 0.500 0.000 0.000
Cd 0.000 0.333 0.667
Cd 0.000 0.667 0.333

Results
Fermi-level density of states	2.2	states/eV/cell
DFT formation energy	-0.301	eV per atom

DFT (PBE-GGA) results for a relaxed Sm3HfAs4 crystal.

Cell: 4.104 7.114 7.114 Å, 109.24 90.00 90.00°
Atoms (fractional coordinates):
Sm 0.000 0.000 0.500
Sm 0.500 0.500 0.500
Sm 0.000 0.500 0.000
Hf 0.500 0.000 0.000
As 0.500 0.241 0.759
As 0.000 0.233 0.233
As 0.000 0.767 0.767
As 0.500 0.759 0.241

Results
Fermi-level density of states	1.4	states/eV/cell
DFT formation energy	-1.381	eV per atom